Below is SrBiSe2N after structural relaxation, with properties calculated at the GGA-PBE level.

Output
Raw formation energy (eV per atom): 0.592
Space-group type: P4/mmm
ρ (g/cm³): 4.955
Total magnetization (μB/atom): 0.44

Lattice parameters (Å, degrees): 5.7966 5.7966 4.6730 90.00 90.00 90.00
Positions (direct):
Sr: 0.0000 0.0000 0.0000
Bi: 0.5000 0.5000 0.5000
Se: 0.0000 0.5000 0.0000
Se: 0.5000 0.0000 0.0000
N: 0.0000 0.0000 0.5000